Material: RbLa2Pt2
Method: DFT, PBE-GGA
State: optimized geometry

Properties
SG	I4/mmm, No. 139
magnetization	0.153	μB per atom
formation energy	-0.53	eV per atom
final energy	-25.57	eV/f.u.

Cell lengths 5.439, 5.439, 7.409 Å; angles 68.47, 68.47, 90.00 degrees
Last column: magnetic moment on the atom in μB.
Sites, in units of the cell vectors:
Rb1 0.000 0.000 0.000  0.01
Pt1 0.750 0.250 0.500  0.02
Pt2 0.250 0.750 0.500  0.02
La1 0.676 0.676 0.648  0.10
La2 0.324 0.324 0.352  0.10



Material: Rb2LaPt2
Method: DFT, PBE-GGA
State: optimized geometry

Properties
SG	P4/mbm, No. 127
magnetization	0.143	μB per atom
formation energy	-0.24	eV per atom
final energy	-20.12	eV/f.u.

Cell lengths 7.452, 7.452, 5.798 Å; angles 90.00, 90.00, 90.00 degrees
Last column: magnetic moment on the atom in μB.
Sites, in units of the cell vectors:
Pt1 0.627 0.127 0.000  0.02
Pt2 0.373 0.873 0.000  0.02
Pt3 0.127 0.373 0.000  0.02
Pt4 0.873 0.627 0.000  0.02
Rb1 0.164 0.664 0.500  0.02
Rb2 0.336 0.164 0.500  0.02
Rb3 0.664 0.836 0.500  0.02
Rb4 0.836 0.336 0.500  0.02
La1 0.500 0.500 0.000  0.11
La2 0.000 0.000 0.000  0.11



Material: Rb2LaPt
Method: DFT, PBE-GGA
State: optimized geometry

Properties
energy above the lowest structure with this stoichiometry	643	meV/atom
SG	Fm-3m, No. 225
magnetization	0.000	μB per atom
formation energy	0.70	eV per atom
final energy	-10.09	eV/f.u.

Cell lengths 5.701, 5.701, 5.701 Å; angles 60.00, 60.00, 60.00 degrees
Sites, in units of the cell vectors:
Rb1 0.250 0.250 0.250
Rb2 0.750 0.750 0.750
La1 0.000 0.000 0.000
Pt1 0.500 0.500 0.500



Material: RbLaPt10
Method: DFT, PBE-GGA
State: optimized geometry

Properties
SG	Pmmm, No. 47
magnetization	0.000	μB per atom
formation energy	-0.41	eV per atom
final energy	-71.26	eV/f.u.

Cell lengths 4.373, 5.562, 9.533 Å; angles 90.00, 90.00, 90.00 degrees
Sites, in units of the cell vectors:
Pt1 0.500 0.746 0.743
Pt2 0.500 0.254 0.743
Pt3 0.500 0.254 0.257
Pt4 0.500 0.746 0.257
Pt5 0.000 0.000 0.337
Pt6 0.000 0.000 0.663
Pt7 0.500 0.000 0.500
Pt8 0.000 0.500 0.829
Pt9 0.000 0.500 0.171
Pt10 0.500 0.500 0.000
Rb1 0.000 0.000 0.000
La1 0.000 0.500 0.500



Material: Rb2LaPt
Method: DFT, PBE-GGA
State: optimized geometry

Properties
energy above the lowest structure with this stoichiometry	0	meV/atom
SG	I-42d, No. 122
magnetization	0.000	μB per atom
formation energy	0.06	eV per atom
final energy	-12.66	eV/f.u.

Cell lengths 12.827, 12.827, 9.457 Å; angles 47.30, 47.30, 90.00 degrees
Sites, in units of the cell vectors:
Pt1 0.000 0.000 0.000
Pt2 0.750 0.250 0.500
La1 0.500 0.500 0.000
La2 0.250 0.750 0.500
Rb1 0.375 0.238 0.750
Rb2 0.875 0.012 0.750
Rb3 0.762 0.125 0.250
Rb4 0.988 0.625 0.250



Material: RbLaPt4
Method: DFT, PBE-GGA
State: optimized geometry

Properties
SG	F-43m, No. 216
magnetization	0.000	μB per atom
formation energy	-0.64	eV per atom
final energy	-33.87	eV/f.u.

Cell lengths 5.581, 5.581, 5.581 Å; angles 60.00, 60.00, 60.00 degrees
Sites, in units of the cell vectors:
La1 0.250 0.250 0.250
Pt1 0.125 0.625 0.625
Pt2 0.625 0.625 0.125
Pt3 0.625 0.125 0.625
Pt4 0.625 0.625 0.625
Rb1 0.000 0.000 0.000



Material: RbLaPt3
Method: DFT, PBE-GGA
State: optimized geometry

Properties
energy above the lowest structure with this stoichiometry	765	meV/atom
SG	Pm-3m, No. 221
magnetization	0.000	μB per atom
formation energy	1.14	eV per atom
final energy	-18.34	eV/f.u.

Cell lengths 5.144, 5.144, 5.144 Å; angles 90.00, 90.00, 90.00 degrees
Sites, in units of the cell vectors:
La1 0.500 0.500 0.500
Pt1 0.000 0.500 0.000
Pt2 0.500 0.000 0.000
Pt3 0.000 0.000 0.500
Rb1 0.000 0.000 0.000



Material: RbLaPt2
Method: DFT, PBE-GGA
State: optimized geometry

Properties
energy above the lowest structure with this stoichiometry	0	meV/atom
SG	Fm-3m, No. 225
magnetization	0.000	μB per atom
formation energy	-0.39	eV per atom
final energy	-19.53	eV/f.u.

Cell lengths 5.235, 5.235, 5.235 Å; angles 60.00, 60.00, 60.00 degrees
Sites, in units of the cell vectors:
La1 0.500 0.500 0.500
Pt1 0.250 0.250 0.250
Pt2 0.750 0.750 0.750
Rb1 0.000 0.000 0.000



Material: RbLaPt3
Method: DFT, PBE-GGA
State: optimized geometry

Properties
energy above the lowest structure with this stoichiometry	0	meV/atom
SG	Pm-3m, No. 221
magnetization	0.000	μB per atom
formation energy	0.37	eV per atom
final energy	-22.16	eV/f.u.

Cell lengths 5.494, 5.494, 5.494 Å; angles 90.00, 90.00, 90.00 degrees
Sites, in units of the cell vectors:
Pt1 0.000 0.500 0.000
Pt2 0.000 0.000 0.500
Pt3 0.500 0.000 0.000
La1 0.000 0.000 0.000
Rb1 0.500 0.500 0.500



Material: Rb2La2Pt
Method: DFT, PBE-GGA
State: optimized geometry

Properties
SG	P4/mbm, No. 127
magnetization	0.000	μB per atom
formation energy	-0.11	eV per atom
final energy	-18.38	eV/f.u.

Cell lengths 7.696, 7.696, 7.483 Å; angles 90.00, 90.00, 90.00 degrees
Sites, in units of the cell vectors:
Rb1 0.693 0.807 0.500
Rb2 0.807 0.307 0.500
Rb3 0.307 0.193 0.500
Rb4 0.193 0.693 0.500
Pt1 0.500 0.500 0.000
Pt2 0.000 0.000 0.000
La1 0.177 0.323 0.000
La2 0.323 0.823 0.000
La3 0.823 0.677 0.000
La4 0.677 0.177 0.000



Material: RbLaPt
Method: DFT, PBE-GGA
State: optimized geometry

Properties
SG	C2/m, No. 12
magnetization	0.000	μB per atom
formation energy	-0.55	eV per atom
final energy	-13.60	eV/f.u.

Cell lengths 4.973, 4.973, 19.296 Å; angles 48.53, 48.53, 58.75 degrees
Sites, in units of the cell vectors:
Rb1 0.444 0.444 0.316
Rb2 0.309 0.309 0.992
Pt1 0.447 0.447 0.513
Pt2 0.306 0.306 0.794
La1 0.051 0.051 0.749
La2 0.702 0.702 0.559



Material: RbLaPt2
Method: DFT, PBE-GGA
State: optimized geometry

Properties
energy above the lowest structure with this stoichiometry	69	meV/atom
SG	I-42d, No. 122
magnetization	0.000	μB per atom
formation energy	-0.32	eV per atom
final energy	-19.26	eV/f.u.

Cell lengths 8.092, 8.092, 7.076 Å; angles 55.13, 55.13, 90.00 degrees
Sites, in units of the cell vectors:
Pt1 0.681 0.125 0.250
Pt2 0.375 0.319 0.750
Pt3 0.069 0.625 0.250
Pt4 0.875 0.931 0.750
La1 0.750 0.250 0.500
La2 0.000 0.000 0.000
Rb1 0.250 0.750 0.500
Rb2 0.500 0.500 0.000



Material: RbLa2Pt2
Method: DFT, PBE-GGA
State: optimized geometry

Properties
SG	I4/mmm, No. 139
magnetization	0.000	μB per atom
formation energy	-0.63	eV per atom
final energy	-26.06	eV/f.u.

Cell lengths 5.260, 5.260, 6.714 Å; angles 66.94, 66.94, 90.00 degrees
Sites, in units of the cell vectors:
La1 0.750 0.250 0.500
La2 0.250 0.750 0.500
Pt1 0.378 0.378 0.245
Pt2 0.622 0.622 0.755
Rb1 0.000 0.000 0.000



Material: RbLa2RuPt
Method: DFT, PBE-GGA
State: optimized geometry

Properties
SG	P4/mmm, No. 123
magnetization	0.000	μB per atom
formation energy	1.41	eV per atom
final energy	-19.11	eV/f.u.

Cell lengths 5.581, 5.581, 4.560 Å; angles 90.00, 90.00, 90.00 degrees
Sites, in units of the cell vectors:
La1 0.000 0.500 0.000
La2 0.500 0.000 0.000
Ru1 0.000 0.000 0.500
Pt1 0.500 0.500 0.500
Rb1 0.000 0.000 0.000



Material: RbLaRuPt2
Method: DFT, PBE-GGA
State: optimized geometry

Properties
SG	P4/mmm, No. 123
magnetization	0.000	μB per atom
formation energy	0.16	eV per atom
final energy	-26.45	eV/f.u.

Cell lengths 5.209, 4.959, 5.209 Å; angles 90.00, 90.00, 90.00 degrees
Sites, in units of the cell vectors:
Pt1 0.000 0.000 0.500
Pt2 0.500 0.000 0.000
Rb1 0.500 0.500 0.500
La1 0.000 0.500 0.000
Ru1 0.000 0.000 0.000



Material: RbLaTaPt2
Method: DFT, PBE-GGA
State: optimized geometry

Properties
SG	P4/mmm, No. 123
magnetization	0.406	μB per atom
formation energy	1.99	eV per atom
final energy	-19.87	eV/f.u.

Cell lengths 5.071, 5.289, 5.071 Å; angles 90.00, 90.00, 90.00 degrees
Last column: magnetic moment on the atom in μB.
Sites, in units of the cell vectors:
Ta1 0.500 0.500 0.500  1.33
Pt1 0.500 0.000 0.000  -0.04
Pt2 0.000 0.000 0.500  -0.02
Rb1 0.000 0.000 0.000  -0.01
La1 0.000 0.500 0.000  0.09



Material: Rb2LaYPt
Method: DFT, PBE-GGA
State: optimized geometry

Properties
SG	P4/mmm, No. 123
magnetization	0.072	μB per atom
formation energy	0.40	eV per atom
final energy	-17.36	eV/f.u.

Cell lengths 6.460, 6.460, 5.526 Å; angles 90.00, 90.00, 90.00 degrees
Last column: magnetic moment on the atom in μB.
Sites, in units of the cell vectors:
Rb1 0.000 0.500 0.000  0.00
Rb2 0.500 0.000 0.000  0.00
Y1 0.500 0.500 0.500  0.12
Pt1 0.000 0.000 0.000  0.01
La1 0.000 0.000 0.500  0.04



Material: LaRePt2
Method: DFT, PBE-GGA
State: optimized geometry

Properties
energy above the lowest structure with this stoichiometry	287	meV/atom
SG	I-42d, No. 122
magnetization	0.000	μB per atom
formation energy	0.06	eV per atom
final energy	-29.23	eV/f.u.

Cell lengths 4.985, 4.985, 8.913 Å; angles 73.76, 73.76, 90.00 degrees
Sites, in units of the cell vectors:
Re1 0.750 0.250 0.500
Re2 0.000 0.000 0.000
La1 0.500 0.500 0.000
La2 0.250 0.750 0.500
Pt1 0.756 0.125 0.250
Pt2 0.994 0.625 0.250
Pt3 0.375 0.244 0.750
Pt4 0.875 0.006 0.750



Material: LaRePt
Method: DFT, PBE-GGA
State: optimized geometry

Properties
energy above the lowest structure with this stoichiometry	1230	meV/atom
SG	F-43m, No. 216
magnetization	0.813	μB per atom
formation energy	1.08	eV per atom
final energy	-20.18	eV/f.u.

Cell lengths 4.698, 4.698, 4.698 Å; angles 60.00, 60.00, 60.00 degrees
Last column: magnetic moment on the atom in μB.
Sites, in units of the cell vectors:
Re1 0.500 0.500 0.500  1.98
Pt1 0.000 0.000 0.000  0.14
La1 0.750 0.750 0.750  0.07



Material: LaRePt2
Method: DFT, PBE-GGA
State: optimized geometry

Properties
energy above the lowest structure with this stoichiometry	319	meV/atom
SG	Fm-3m, No. 225
magnetization	0.751	μB per atom
formation energy	0.09	eV per atom
final energy	-29.10	eV/f.u.

Cell lengths 4.831, 4.831, 4.831 Å; angles 60.00, 60.00, 60.00 degrees
Last column: magnetic moment on the atom in μB.
Sites, in units of the cell vectors:
Re1 0.500 0.500 0.500  2.02
Pt1 0.250 0.250 0.250  0.28
Pt2 0.750 0.750 0.750  0.28
La1 0.000 0.000 0.000  0.07



Material: LaRe3Pt
Method: DFT, PBE-GGA
State: optimized geometry

Properties
energy above the lowest structure with this stoichiometry	0	meV/atom
SG	Pm-3m, No. 221
magnetization	0.000	μB per atom
formation energy	1.61	eV per atom
final energy	-40.26	eV/f.u.

Cell lengths 4.842, 4.842, 4.842 Å; angles 90.00, 90.00, 90.00 degrees
Sites, in units of the cell vectors:
Re1 0.000 0.500 0.000
Re2 0.500 0.000 0.000
Re3 0.000 0.000 0.500
Pt1 0.000 0.000 0.000
La1 0.500 0.500 0.500



Material: LaRePt2
Method: DFT, PBE-GGA
State: optimized geometry

Properties
energy above the lowest structure with this stoichiometry	109	meV/atom
SG	Cm, No. 8
magnetization	0.000	μB per atom
formation energy	-0.12	eV per atom
final energy	-29.94	eV/f.u.

Cell lengths 5.012, 5.012, 5.570 Å; angles 79.42, 79.42, 34.54 degrees
Sites, in units of the cell vectors:
Re1 0.491 0.491 0.583
Pt1 0.756 0.756 0.710
Pt2 0.009 0.009 0.970
La1 0.244 0.244 0.237



Material: LaRe4Pt
Method: DFT, PBE-GGA
State: optimized geometry

Properties
SG	F-43m, No. 216
magnetization	0.002	μB per atom
formation energy	0.36	eV per atom
final energy	-58.63	eV/f.u.

Cell lengths 5.367, 5.367, 5.367 Å; angles 60.00, 60.00, 60.00 degrees
Sites, in units of the cell vectors:
Re1 0.373 0.373 0.881
Re2 0.373 0.373 0.373
Re3 0.881 0.373 0.373
Re4 0.373 0.881 0.373
Pt1 0.000 0.000 0.000
La1 0.750 0.750 0.750



Material: LaRePt2
Method: DFT, PBE-GGA
State: optimized geometry

Properties
energy above the lowest structure with this stoichiometry	250	meV/atom
SG	I4/mmm, No. 139
magnetization	0.189	μB per atom
formation energy	0.02	eV per atom
final energy	-29.38	eV/f.u.

Cell lengths 5.128, 5.128, 5.128 Å; angles 130.68, 130.68, 72.32 degrees
Last column: magnetic moment on the atom in μB.
Sites, in units of the cell vectors:
La1 0.750 0.250 0.500  0.02
Pt1 0.500 0.500 0.000  0.03
Pt2 0.000 0.000 0.000  0.03
Re1 0.250 0.750 0.500  0.61



Material: LaRePt
Method: DFT, PBE-GGA
State: optimized geometry

Properties
energy above the lowest structure with this stoichiometry	283	meV/atom
SG	I4mm, No. 107
magnetization	0.000	μB per atom
formation energy	0.13	eV per atom
final energy	-23.02	eV/f.u.

Cell lengths 5.887, 5.887, 5.887 Å; angles 145.59, 145.59, 49.45 degrees
Sites, in units of the cell vectors:
La1 0.000 0.000 0.000
Re1 0.707 0.707 0.000
Pt1 0.293 0.293 0.000



Material: LaRePt2
Method: DFT, PBE-GGA
State: optimized geometry

Properties
energy above the lowest structure with this stoichiometry	399	meV/atom
SG	F-43m, No. 216
magnetization	0.531	μB per atom
formation energy	0.17	eV per atom
final energy	-28.78	eV/f.u.

Cell lengths 4.757, 4.757, 4.757 Å; angles 60.00, 60.00, 60.00 degrees
Last column: magnetic moment on the atom in μB.
Sites, in units of the cell vectors:
Re1 0.750 0.750 0.750  1.64
La1 0.500 0.500 0.500  0.07
Pt1 0.250 0.250 0.250  0.03
Pt2 0.000 0.000 0.000  0.28



Material: LaRePt4
Method: DFT, PBE-GGA
State: optimized geometry

Properties
SG	F-43m, No. 216
magnetization	0.573	μB per atom
formation energy	-0.15	eV per atom
final energy	-42.45	eV/f.u.

Cell lengths 5.403, 5.403, 5.403 Å; angles 60.00, 60.00, 60.00 degrees
Last column: magnetic moment on the atom in μB.
Sites, in units of the cell vectors:
Pt1 0.376 0.376 0.872  0.11
Pt2 0.376 0.376 0.376  0.11
Pt3 0.872 0.376 0.376  0.11
Pt4 0.376 0.872 0.376  0.11
Re1 0.750 0.750 0.750  2.52
La1 0.000 0.000 0.000  0.08



Material: LaRePt
Method: DFT, PBE-GGA
State: optimized geometry

Properties
energy above the lowest structure with this stoichiometry	553	meV/atom
SG	P3m1, No. 156
magnetization	0.000	μB per atom
formation energy	0.40	eV per atom
final energy	-22.22	eV/f.u.

Cell lengths 2.923, 2.923, 7.761 Å; angles 90.00, 90.00, 120.00 degrees
Sites, in units of the cell vectors:
La1 0.000 0.000 0.668
Re1 0.333 0.667 0.304
Pt1 0.667 0.333 0.029